The following is a PBE with a Hubbard U calculation of a geometry-optimized Li3VF8 structure, from Alexandria.

Structure (CIF):
```
data_Li3VF8
_symmetry_space_group_name_H-M 'C 1 2/m 1'
_symmetry_Int_Tables_number 12
_cell_length_a 6.8642
_cell_length_b 9.7945
_cell_length_c 5.4654
_cell_angle_alpha 90.00
_cell_angle_beta 119.68
_cell_angle_gamma 90.00
loop_
_symmetry_equiv_pos_as_xyz
'x,y,z'
'-x,-y,-z'
'-x,y,-z'
'x,-y,z'
'x+1/2,y+1/2,z'
'-x+1/2,-y+1/2,-z'
'-x+1/2,y+1/2,-z'
'x+1/2,-y+1/2,z'
loop_
_atom_site_label
_atom_site_fract_x
_atom_site_fract_y
_atom_site_fract_z
Li1 0.0000 0.0000 0.0000
Li2 0.2500 0.2500 0.0000
V1 0.0000 0.5000 0.5000
F1 0.0000 0.1892 0.0000
F2 0.0000 0.3151 0.5000
F3 0.1560 0.5000 0.8881
F4 0.2355 0.0000 0.4956
```

Values from the calculation:
Crystal system: monoclinic
Total DFT energy (no corrections) in eV per atom: -5.010
Distance to the lowest polymorph of the same formula in meV/atom: 0.0
Total moment in μB per formula unit: 0.11